Material: Tb6Hg3Rh
Method: DFT, PBE-GGA
State: relaxed

The space group is R-3c (No. 167, hexagonal axes) and the conventional cell measures 12.1296, 12.1296 and 13.6422 Å, with angles of 90.00, 90.00 and 120.00 degrees. The asymmetric unit holds Tb at (0.0350, 0.1941, 0.3822), Hg at (0.0000, 0.3944, 0.2500) and Rh at (0.0000, 0.0000, 0.0000).

As for the energy above the most stable polymorph in this dataset: 0.093 eV/atom. The value obtained for the density is 9.50 Mg/m³. For the total moment, the calculation gives 0.00 μB/cell. As for the volume: 1738 Å³/cell.